No. 1
The following is a PBE calculation of a relaxed structure of LaAlRu2, from Alexandria via LeMat-Bulk.

Cell: 3.3645 3.3645 22.8075 Å, 90.00 90.00 120.00°
Space group R-3m (No. 166, hexagonal axes)
Symmetry-distinct sites (fractional):
La1 0.0000 0.0000 0.0000 [3 per cell]
Al1 0.0000 0.0000 0.5000 [3 per cell]
Ru1 0.0000 0.0000 0.2392 [6 per cell]

The energy relative to the elements is 69 meV per atom. Its crystal system is trigonal. The calculation puts the density of states at the Fermi level at 1.18 states/eV/f.u.

No. 2
The following is a PBE calculation of a relaxed structure of EuHI, from Alexandria via LeMat-Bulk.

Cell: 4.894 5.717 11.086 Å, 90.00 90.00 90.00°
Space group Fmm2 (No. 42)
Symmetry-distinct sites (fractional):
Eu1 0.000 0.000 0.000 [4 per cell]
H1 0.000 0.000 0.561 [4 per cell]
I1 0.000 0.000 0.296 [4 per cell]

For the uncorrected energy, the calculation gives -5.815 eV per atom. Its crystal system is orthorhombic. The calculation puts the density of states at the Fermi level at 10.64 states/eV/f.u.

No. 3
The following is a PBE calculation of a relaxed structure of Sr2HgPt, from Alexandria via LeMat-Bulk.

Cell: 4.534 4.534 6.354 Å, 90.00 90.00 90.00°
Space group P4mm (No. 99)
Symmetry-distinct sites (fractional):
Sr1 0.000 0.000 0.000 [1 per cell]
Sr2 0.500 0.500 0.498 [1 per cell]
Hg1 0.000 0.000 0.500 [1 per cell]
Pt1 0.500 0.500 0.999 [1 per cell]

The energy relative to the elements is -459 meV per atom. Its crystal system is tetragonal. The calculation puts the density of states at the Fermi level at 3.44 states/eV/f.u.

No. 4
The following is a PBE calculation of a relaxed structure of Cs3CoCl7, from Alexandria via LeMat-Bulk.

Cell: 9.977 9.977 7.273 Å, 90.00 90.00 90.00°
Space group P4/mbm (No. 127)
Symmetry-distinct sites (fractional):
Cs1 0.000 0.000 0.000 [2 per cell]
Cs2 0.179 0.321 0.500 [4 per cell]
Co1 0.000 0.500 0.000 [2 per cell]
Cl1 0.000 0.000 0.500 [2 per cell]
Cl2 0.113 0.613 0.219 [8 per cell]
Cl3 0.160 0.340 0.000 [4 per cell]

Its crystal system is tetragonal. As for the uncorrected formation energy: -1.30 eV/atom. The calculation puts the density of states at the Fermi level at 17.88 states/eV/f.u.

No. 5
The following is a PBE calculation of a relaxed structure of HoZnCo2H8, from Alexandria via LeMat-Bulk.

Cell: 4.5696 4.5696 6.0781 Å, 90.00 90.00 120.00°
Space group P-3m1 (No. 164)
Symmetry-distinct sites (fractional):
Ho1 0.0000 0.0000 0.0000 [1 per cell]
Zn1 0.0000 0.0000 0.5000 [1 per cell]
Co1 0.3333 0.6667 0.3354 [2 per cell]
H1 0.1482 0.2965 0.2878 [6 per cell]
H2 0.3333 0.6667 0.0816 [2 per cell]

For the uncorrected energy, the calculation gives -3.805 eV per atom. Its crystal system is trigonal. The calculation puts the density of states at the Fermi level at 3.17 states/eV/f.u.

No. 6
The following is a PBE calculation of a relaxed structure of PuInCo2H8, from Alexandria via LeMat-Bulk.

Cell: 4.1525 4.1525 6.7585 Å, 90.00 90.00 120.00°
Space group P-3 (No. 147)
Symmetry-distinct sites (fractional):
Pu1 0.0000 0.0000 0.0000 [1 per cell]
In1 0.0000 0.0000 0.5000 [1 per cell]
Co1 0.3333 0.6667 0.7161 [2 per cell]
H1 0.0623 0.6731 0.2589 [6 per cell]
H2 0.3333 0.6667 0.9475 [2 per cell]

For the uncorrected energy, the calculation gives -4.775 eV per atom. Its crystal system is trigonal. The calculation puts the density of states at the Fermi level at 11.56 states/eV/f.u.

No. 7
The following is a PBE calculation of a relaxed structure of Mg2PdAu9, from Alexandria via LeMat-Bulk.

Cell: 4.115 4.115 12.508 Å, 90.00 90.00 90.00°
Space group P4/mmm (No. 123)
Symmetry-distinct sites (fractional):
Mg1 0.000 0.000 0.172 [2 per cell]
Pd1 0.000 0.000 0.500 [1 per cell]
Au1 0.000 0.500 0.000 [2 per cell]
Au2 0.000 0.500 0.335 [4 per cell]
Au3 0.500 0.500 0.168 [2 per cell]
Au4 0.500 0.500 0.500 [1 per cell]

The energy relative to the elements is -289 meV per atom. Its crystal system is tetragonal. The calculation puts the density of states at the Fermi level at 2.93 states/eV/f.u.

No. 8
The following is a PBE calculation of a relaxed structure of KBaCo2, from Alexandria via LeMat-Bulk.

Cell: 11.404 3.993 8.164 Å, 90.00 129.55 90.00°
Space group C2/m (No. 12)
Symmetry-distinct sites (fractional):
K1 0.000 0.000 0.000 [2 per cell]
Ba1 0.000 0.500 0.500 [2 per cell]
Co1 0.249 0.000 0.557 [4 per cell]

The energy relative to the elements is 631 meV per atom. The calculation puts the polymorph energy (0 for the lowest one) at 222 meV/atom. Its crystal system is monoclinic. The calculation puts the density of states at the Fermi level at 5.23 states/eV/f.u.

No. 9
The following is a PBE calculation of a relaxed structure of Sm2DyPaN4, from Alexandria via LeMat-Bulk.

Cell: 6.079 3.545 6.127 Å, 90.00 109.16 90.00°
Space group P2/m (No. 10)
Symmetry-distinct sites (fractional):
Sm1 0.000 0.000 0.000 [1 per cell]
Sm2 0.500 0.500 0.000 [1 per cell]
Dy1 0.000 0.500 0.500 [1 per cell]
Pa1 0.500 0.000 0.500 [1 per cell]
N1 0.257 0.000 0.730 [2 per cell]
N2 0.265 0.500 0.273 [2 per cell]

Its crystal system is monoclinic. As for the uncorrected formation energy: -1.63 eV/atom. The calculation puts the density of states at the Fermi level at 3.65 states/eV/f.u.

No. 10
The following is a PBE calculation of a relaxed structure of PmNdGa2Pd5, from Alexandria via LeMat-Bulk.

Cell: 4.291 4.291 9.273 Å, 90.00 90.00 90.00°
Space group P4/mmm (No. 123)
Symmetry-distinct sites (fractional):
Pm1 0.000 0.000 0.000 [1 per cell]
Nd1 0.000 0.000 0.500 [1 per cell]
Ga1 0.500 0.500 0.137 [2 per cell]
Pd1 0.000 0.500 0.275 [4 per cell]
Pd2 0.500 0.500 0.500 [1 per cell]

The energy relative to the elements is -781 meV per atom. Its crystal system is tetragonal. The calculation puts the density of states at the Fermi level at 6.59 states/eV/f.u.

No. 11
The following is a PBE calculation of a relaxed structure of LiGdMgRu, from Alexandria via LeMat-Bulk.

Cell: 6.738 6.738 6.738 Å, 90.00 90.00 90.00°
Space group F-43m (No. 216)
Symmetry-distinct sites (fractional):
Li1 0.000 0.000 0.000 [4 per cell]
Gd1 0.250 0.250 0.750 [4 per cell]
Mg1 0.250 0.250 0.250 [4 per cell]
Ru1 0.000 0.000 0.500 [4 per cell]

The energy relative to the elements is -112 meV per atom. Its crystal system is cubic. The calculation puts the density of states at the Fermi level at 1.64 states/eV/f.u.

No. 12
The following is a PBE calculation of a relaxed structure of SiS, from Alexandria via LeMat-Bulk.

Cell: 5.843 5.843 5.843 Å, 90.00 90.00 90.00°
Space group F-43m (No. 216)
Symmetry-distinct sites (fractional):
Si1 0.000 0.000 0.000 [4 per cell]
S1 0.250 0.250 0.750 [4 per cell]

Its crystal system is cubic. As for the uncorrected formation energy: 0.43 eV/atom. The calculation puts the density of states at the Fermi level at 0.77 states/eV/f.u.